(1)
Computed, not measured: an optimized crystal structure of SmZnCu3 at the GGA-PBE level of DFT.

```
SmZnCu3
1.0
-0.104 -2.470 4.299
4.435 1.877 1.186
-5.800 6.637 0.813
Sm Zn Cu
2 2 6
direct
0.614 0.114 0.229
0.886 0.386 0.771
0.000 0.000 0.000
0.250 0.750 0.500
0.613 0.877 0.754
0.123 0.860 0.246
0.123 0.387 0.246
0.140 0.877 0.754
0.264 0.264 0.527
0.736 0.736 0.473
```

DOS(E_F) (states/eV/cell): 3.45
Energy relative to the elements (eV/atom): 0.13
Uncorrected energy (eV for the cell shown): -35.296
ΔE to the lowest computed polymorph (meV/atom): 236

(2)
Computed, not measured: an optimized crystal structure of La2InAuN at the GGA-PBE level of DFT.

```
La2InAuN
1.0
-1.343 4.847 -0.476
-4.255 -1.020 1.614
1.574 0.899 4.716
N In Au La
1 1 1 2
direct
0.000 0.000 0.000
0.500 0.500 0.500
0.000 0.500 0.000
0.000 0.000 0.500
0.500 0.000 0.000
```

DOS(E_F) (states/eV/cell): 2.90
Uncorrected energy (eV for the cell shown): -27.286
Energy relative to the elements, uncorrected (eV per atom): -0.62
ΔE to the lowest computed polymorph (meV/atom): 0

(3)
Computed, not measured: an optimized crystal structure of TaRu at the GGA-PBE level of DFT.

```
TaRu
1.0
3.031 0.000 0.000
-1.515 2.625 0.000
0.000 0.000 8.287
Ru Ta
2 2
direct
0.333 0.667 0.250
0.667 0.333 0.750
0.000 0.000 0.000
0.000 0.000 0.500
```

DOS(E_F) (states/eV/cell): 3.53
Energy relative to the elements (eV/atom): -0.04
Uncorrected energy (eV for the cell shown): -42.419

(4)
Computed, not measured: an optimized crystal structure of RbCuB2Br8 at the GGA-PBE level of DFT.

```
RbCuB2Br8
1.0
6.403 0.000 0.000
3.201 5.545 0.000
3.201 1.848 9.829
Rb Cu B Br
1 1 2 8
direct
0.500 0.500 0.500
0.000 0.000 0.000
0.257 0.257 0.230
0.743 0.743 0.770
0.187 0.187 0.438
0.587 0.266 0.167
0.813 0.813 0.562
0.980 0.587 0.167
0.020 0.413 0.833
0.266 0.980 0.167
0.734 0.020 0.833
0.413 0.734 0.833
```

DOS(E_F) (states/eV/cell): 0.00
Uncorrected energy (eV for the cell shown): -39.095
Energy relative to the elements, uncorrected (eV per atom): -0.61